# BeAlCu (PBE-GGA, optimized geometry)
data_BeAlCu
_space_group_name_H-M_alt 'C 1 2/m 1'
_space_group_IT_number 12
_cell_length_a 9.191
_cell_length_b 2.754
_cell_length_c 6.620
_cell_angle_alpha 90.00
_cell_angle_beta 118.69
_cell_angle_gamma 90.00
loop_
_space_group_symop_operation_xyz
'x,y,z'
'-x,-y,-z'
'-x,y,-z'
'x,-y,z'
'x+1/2,y+1/2,z'
'-x+1/2,-y+1/2,-z'
'-x+1/2,y+1/2,-z'
'x+1/2,-y+1/2,z'
loop_
_atom_site_label
_atom_site_type_symbol
_atom_site_fract_x
_atom_site_fract_y
_atom_site_fract_z
_atom_site_occupancy
Be1 Be 0.122 0.000 0.168 1
Al1 Al 0.134 0.000 0.800 1
Cu1 Cu 0.125 0.500 0.463 1
# - density (g/cm3) = 4.50
# - size of the total moment (μB/f.u.) = 0.00
# - DFT total energy (eV for the cell shown) = -46.2